[1]
Below is an optimized crystal structure of NdYGa2Br2, with properties calculated at the PBE level.

The space-group type is No. 156. Its total energy is -28.08 eV per cell.

abc: 4.176 4.176 11.407
angles: 90.00 90.00 120.00
Element x y z (fractional)
Y1 0.000 0.000 0.317
Br1 0.667 0.333 0.840
Ga1 0.333 0.667 0.526
Br2 0.333 0.667 0.161
Nd1 0.000 0.000 0.683
Ga2 0.667 0.333 0.473

---

[2]
Below is an optimized crystal structure of Zr4AgPd, with properties calculated at the PBE level.

The space-group type is No. 123. The value obtained for the calculated formation energy is -0.30 eV/atom. The calculation puts the polymorph energy (0 for the lowest one) at 0.00 eV per formula unit.

abc: 3.301 3.301 11.455
angles: 90.00 90.00 90.00
Element x y z (fractional)
Zr1 0.000 0.000 0.152
Pd1 0.500 0.500 0.000
Zr2 0.500 0.500 0.332
Ag1 0.000 0.000 0.500
Zr3 0.500 0.500 0.668
Zr4 0.000 0.000 0.848

---

[3]
Below is an optimized crystal structure of NdPaNO, with properties calculated at the PBE level.

The space-group type is No. 129. The calculation puts the polymorph energy (0 for the lowest one) at 1.35 eV per formula unit.

abc: 4.285 4.285 8.594
angles: 90.00 90.00 90.00
Element x y z (fractional)
N1 0.000 0.500 0.378
O1 0.000 0.000 0.000
O2 0.500 0.500 0.000
N2 0.500 0.000 0.622
Nd1 0.000 0.500 0.881
Nd2 0.500 0.000 0.119
Pa1 0.000 0.000 0.500
Pa2 0.500 0.500 0.500

---

[4]
Below is an optimized crystal structure of SrSmCuTe3, with properties calculated at the PBE level.

The space-group type is No. 11. Its total energy is -53.43 eV per cell.

abc: 8.797 4.376 10.299
angles: 90.00 103.81 90.00
Element x y z (fractional)
Te1 0.571 0.250 0.848
Te2 0.925 0.750 0.158
Te3 0.075 0.250 0.842
Cu1 0.574 0.250 0.587
Te4 0.264 0.250 0.469
Cu2 0.426 0.750 0.413
Sm1 0.183 0.250 0.161
Te5 0.736 0.750 0.531
Sr1 0.708 0.250 0.283
Te6 0.429 0.750 0.152
Sm2 0.817 0.750 0.839
Sr2 0.292 0.750 0.717